1.
First-principles (PBE-GGA) data for HgTeMo after structural relaxation, as listed in the Alexandria database.

SG = No. 187
magnetic moment = 0.000 μB per atom
ΔE to the lowest computed polymorph = 0.449 eV/atom
E_form (uncorrected) = 0.6950 eV per atom
mass density = 11.1 Mg/m³

a = 4.9984 Å, b = 4.9984 Å, c = 2.9250 Å
α = 90.00°, β = 90.00°, γ = 120.00°
Element x y z (fractional)
Hg: 0.0000 0.0000 0.0000
Te: 0.3333 0.6667 0.5000
Mo: 0.6667 0.3333 0.5000

2.
First-principles (PBE-GGA) data for HgTeMo after structural relaxation, as listed in the Alexandria database.

SG = No. 216
magnetic moment = 0.001 μB per atom
ΔE to the lowest computed polymorph = 0.739 eV/atom
E_form (uncorrected) = 0.9851 eV per atom
mass density = 9.7 Mg/m³

a = 4.6758 Å, b = 4.6758 Å, c = 4.6758 Å
α = 60.00°, β = 60.00°, γ = 60.00°
Element x y z (fractional)
Hg: 0.0000 0.0000 0.0000
Te: 0.2500 0.2500 0.2500
Mo: 0.5000 0.5000 0.5000

3.
First-principles (PBE-GGA) data for HgTe2Mo after structural relaxation, as listed in the Alexandria database.

SG = No. 123
magnetic moment = 0.000 μB per atom
E_form (uncorrected) = -0.0397 eV per atom
mass density = 8.5 Mg/m³

a = 3.2879 Å, b = 3.2879 Å, c = 9.9466 Å
α = 90.00°, β = 90.00°, γ = 90.00°
Element x y z (fractional)
Hg: 0.0000 0.0000 0.0000
Te: 0.5000 0.5000 0.3311
Te: 0.5000 0.5000 0.6689
Mo: 0.0000 0.0000 0.5000

4.
First-principles (PBE-GGA) data for HgTe4Mo after structural relaxation, as listed in the Alexandria database.

SG = No. 15
magnetic moment = 0.000 μB per atom
ΔE to the lowest computed polymorph = 0.000 eV/atom
E_form (uncorrected) = -0.0404 eV per atom
mass density = 7.9 Mg/m³

a = 7.4450 Å, b = 7.4450 Å, c = 6.4885 Å
α = 99.56°, β = 99.56°, γ = 101.25°
Element x y z (fractional)
Hg: 0.0664 0.9336 0.7500
Hg: 0.9336 0.0664 0.2500
Te: 0.1891 0.3560 0.9169
Te: 0.2252 0.6135 0.4689
Te: 0.3560 0.1891 0.4169
Te: 0.3865 0.7748 0.0311
Te: 0.6135 0.2252 0.9689
Te: 0.6440 0.8109 0.5831
Te: 0.7748 0.3865 0.5311
Te: 0.8109 0.6440 0.0831
Mo: 0.4970 0.5030 0.7500
Mo: 0.5030 0.4970 0.2500

Q: magnetic moment of number 2 (HgTeMo)?
A: 0.001 μB per atom